The following is a DFT calculation (GGA-PBE) of crystalline TlTe2IrRh at its relaxed geometry.

For the density of states at the Fermi level, the calculation gives 7.22 states/eV/cell. The value obtained for the energy relative to the elements, uncorrected is 0.684 eV/atom.

The structure belongs to space group P4/mmm (No. 123); the cell edges are 5.292, 5.292 and 4.834 Å and the angles 90.00°, 90.00° and 90.00°. Symmetry generates all atoms from Tl at (0.000, 0.000, 0.000), Te at (0.000, 0.500, 0.500), Ir at (0.500, 0.500, 0.000) and Rh at (0.500, 0.500, 0.500).

---

The following is a DFT calculation (GGA-PBE) of crystalline TaSe2Br at its relaxed geometry.

For the density of states at the Fermi level, the calculation gives 8.61 states/eV/cell. The value obtained for the energy relative to the elements, uncorrected is -0.188 eV/atom. The distance to the lowest polymorph of the same formula comes out at 0.500 eV/atom.

The structure belongs to space group R3m (No. 160, hexagonal axes); the cell edges are 3.3097, 3.3097 and 28.9802 Å and the angles 90.00°, 90.00° and 120.00°. Symmetry generates all atoms from Ta at (0.0000, 0.0000, 0.0000), Se at (0.0000, 0.0000, 0.2738), Se at (0.0000, 0.0000, 0.5102) and Br at (0.0000, 0.0000, 0.7326).

---

The following is a DFT calculation (GGA-PBE) of crystalline SrZn2Cl at its relaxed geometry.

For the density of states at the Fermi level, the calculation gives 1.91 states/eV/cell. The value obtained for the energy relative to the elements, uncorrected is -0.661 eV/atom. The distance to the lowest polymorph of the same formula comes out at 0.077 eV/atom.

The structure belongs to space group P4/mmm (No. 123); the cell edges are 4.123, 4.123 and 6.002 Å and the angles 90.00°, 90.00° and 90.00°. Symmetry generates all atoms from Sr at (0.000, 0.000, 0.000), Zn at (0.000, 0.500, 0.500) and Cl at (0.500, 0.500, 0.000).

---

The following is a DFT calculation (GGA-PBE) of crystalline Sr2Al3Pd4 at its relaxed geometry.

The formation energy is -0.726 eV per atom. For the density of states at the Fermi level, the calculation gives 17.70 states/eV/cell.

The structure belongs to space group Cmce (No. 64); the cell edges are 5.840, 15.912 and 7.656 Å and the angles 90.00°, 90.00° and 90.00°. Symmetry generates all atoms from Sr at (0.000, 0.107, 0.089), Al at (0.000, 0.000, 0.500), Al at (0.250, 0.226, 0.750), Pd at (0.000, 0.186, 0.483) and Pd at (0.250, 0.065, 0.750).

---

The following is a DFT calculation (GGA-PBE) of crystalline ZrHg6 at its relaxed geometry.

The formation energy is 0.801 eV per atom. For the density of states at the Fermi level, the calculation gives 15.28 states/eV/cell.

The structure belongs to space group Im-3m (No. 229); the cell edges are 8.021, 8.021 and 8.021 Å and the angles 90.00°, 90.00° and 90.00°. Symmetry generates all atoms from Zr at (0.000, 0.000, 0.000) and Hg at (0.000, 0.250, 0.500).

---

The following is a DFT calculation (GGA-PBE) of crystalline KRb2Mg2Tl5 at its relaxed geometry.

The formation energy is -0.031 eV per atom. For the density of states at the Fermi level, the calculation gives 10.64 states/eV/cell.

The structure belongs to space group P4/mbm (No. 127); the cell edges are 13.106, 13.106 and 4.169 Å and the angles 90.00°, 90.00° and 90.00°. Symmetry generates all atoms from K at (0.000, 0.000, 0.000), Rb at (0.180, 0.320, 0.000), Mg at (0.117, 0.617, 0.000), Tl at (0.000, 0.500, 0.500) and Tl at (0.064, 0.779, 0.500).

---

Which formula does entry 6 have?
KRb2Mg2Tl5